# 1
# SmDy2Tm3

SmDy2Tm3 after structural relaxation (PBE-GGA, the Alexandria database).

Values from the calculation:
Relative energy among the computed polymorphs (meV per atom): 96
ΔH_f (0 K) (eV per atom): 0.1192
Volume (Å³/cell): 381.20
Space group: No. 12
Fermi-level density of states (states/eV/cell): 19.63

```
12
Lattice="-0.149 3.392 0.744 0.812 -0.142 8.925 12.556 2.001 1.509" Properties=species:S:1:pos:R:3 pbc="T T T"
Sm 8.430 2.713 5.556
Sm 4.789 2.539 5.622
Dy 11.375 4.480 6.212
Dy 1.844 0.772 4.967
Dy 6.710 3.274 2.654
Dy 6.509 1.977 8.524
Tm 10.029 1.701 2.374
Tm 3.190 3.551 8.805
Tm 12.812 3.865 9.302
Tm 0.407 1.387 1.877
Tm 9.427 3.804 8.898
Tm 3.792 1.447 2.280
```

***

# 2
# AcAgPbSe3

AcAgPbSe3 after structural relaxation (PBE-GGA, the Alexandria database).

Values from the calculation:
E_form (uncorrected) (eV per atom): -1.048
Volume (Å³/cell): 354.53
Space group: No. 11
Fermi-level density of states (states/eV/cell): 0.00

```
12
Lattice="-0.600 -2.814 3.160 8.752 0.297 1.927 -3.327 6.895 5.508" Properties=species:S:1:pos:R:3 pbc="T T T"
Ac 0.600 0.907 2.367
Ac 4.225 3.472 8.228
Ag -1.310 3.339 4.169
Ag 6.136 1.040 6.426
Pb 5.065 0.625 2.963
Pb -0.240 3.754 7.632
Se 7.065 -0.965 4.817
Se -2.240 5.344 5.778
Se 4.853 3.081 5.110
Se -0.027 1.298 5.485
Se 2.601 -0.912 4.016
Se 2.224 5.291 6.578
```

***

# 3
# BaMg2Zn

BaMg2Zn after structural relaxation (PBE-GGA, the Alexandria database).

Values from the calculation:
ΔH_f (0 K) (eV per atom): -0.0369
Volume (Å³/cell): 123.06
Space group: No. 6
Fermi-level density of states (states/eV/cell): 2.66

```
4
Lattice="4.634 0.000 0.000 0.000 3.991 0.011 0.000 1.993 6.659" Properties=species:S:1:pos:R:3 pbc="T T T"
Mg 0.000 0.248 0.772
Mg 2.317 2.248 1.564
Zn 0.000 2.245 3.001
Ba 2.317 4.235 4.667
```

***

# 4
# LiAlZn2S4

LiAlZn2S4 after structural relaxation (PBE-GGA, the Alexandria database).

Values from the calculation:
E_form (uncorrected) (eV per atom): -1.040
Volume (Å³/cell): 160.60
Space group: No. 121
Fermi-level density of states (states/eV/cell): 0.00

```
8
Lattice="5.500 0.228 0.000 -0.229 5.500 0.000 -2.636 -2.864 5.300" Properties=species:S:1:pos:R:3 pbc="T T T"
Li 0.000 0.000 0.002
Al 0.000 0.000 5.300
Zn 2.750 0.114 2.650
Zn -0.114 2.750 2.650
S 1.259 1.368 3.992
S 1.268 4.123 1.308
S 4.003 1.605 1.308
S -1.259 -1.368 3.992
```

***

# 5
# YTm2In3Se6

YTm2In3Se6 after structural relaxation (PBE-GGA, the Alexandria database).

Values from the calculation:
E_form (uncorrected) (eV per atom): -1.296
Volume (Å³/cell): 341.11
Space group: No. 12

```
12
Lattice="7.130 -0.001 0.000 -3.564 6.175 0.000 -1.189 -2.059 7.748" Properties=species:S:1:pos:R:3 pbc="T T T"
Y 0.000 0.000 0.000
Tm 0.000 4.117 0.000
Tm 3.566 2.057 0.000
In -2.389 4.124 3.874
In 4.766 -0.008 3.874
In 1.188 2.058 3.874
Se 3.579 2.034 6.146
Se 2.364 4.093 1.595
Se -1.202 2.082 1.602
Se -0.027 4.116 6.146
Se 0.013 0.023 6.153
Se 2.404 0.000 1.602
```

***

# 6
# Ce4GePbO

Ce4GePbO after structural relaxation (PBE-GGA, the Alexandria database).

Values from the calculation:
E_form (uncorrected) (eV per atom): -1.102
Volume (Å³/cell): 366.76
Space group: No. 63
Fermi-level density of states (states/eV/cell): 43.57

```
14
Lattice="-1.910 -4.212 4.808 -4.002 -3.144 -4.344 7.105 -2.963 -4.402" Properties=species:S:1:pos:R:3 pbc="T T T"
Ce 3.298 -7.222 -0.388
Ce 2.060 -6.530 -4.902
Ce -2.105 -3.097 -3.549
Ce -0.867 -3.789 0.965
Ce 0.597 -5.159 -1.969
Ce 3.553 -1.481 -2.201
Ce 2.598 -3.587 0.203
Ce 1.552 -3.053 -4.373
Ge 0.441 -1.974 -1.554
Ge 0.752 -8.345 -2.383
Pb -2.657 -5.535 -1.276
Pb 3.850 -4.783 -2.661
O 0.009 -4.839 -4.236
O 1.184 -5.480 0.298
```

***

# 7
# KNaZnC2

KNaZnC2 after structural relaxation (PBE-GGA, the Alexandria database).

Values from the calculation:
ΔH_f (0 K) (eV per atom): 2.4669
Volume (Å³/cell): 109.16
Space group: No. 123
Fermi-level density of states (states/eV/cell): 2.58

```
5
Lattice="-3.295 2.641 -2.025 -1.928 -4.053 -2.150 -2.790 -0.639 3.707" Properties=species:S:1:pos:R:3 pbc="T T T"
C -1.395 -0.320 1.853
C -1.648 1.321 -1.012
Na 0.000 0.000 0.000
Zn -4.007 -1.025 -0.234
K -0.964 -2.027 -1.075
```

***

# 8
# Ba2Ga6NiPt

Ba2Ga6NiPt after structural relaxation (PBE-GGA, the Alexandria database).

Values from the calculation:
ΔH_f (0 K) (eV per atom): -0.3833
Volume (Å³/cell): 231.84
Space group: No. 12
Fermi-level density of states (states/eV/cell): 7.48

```
10
Lattice="6.894 -0.012 0.023 -0.012 6.894 0.023 3.458 3.458 4.901" Properties=species:S:1:pos:R:3 pbc="T T T"
Ba 6.899 3.441 2.472
Ba 3.442 6.898 2.475
Ga 3.449 3.449 2.549
Ga 8.680 8.682 4.933
Ga 1.655 5.230 0.023
Ga 8.685 5.110 4.924
Ga 1.661 1.658 0.014
Ga 6.891 6.891 2.398
Ni 0.000 0.000 0.000
Pt 3.441 3.441 0.023
```

***

# 9
# Dy12HoIn3

Dy12HoIn3 after structural relaxation (PBE-GGA, the Alexandria database).

Values from the calculation:
ΔH_f (0 K) (eV per atom): -0.1920
Volume (Å³/cell): 465.96
Space group: No. 123
Fermi-level density of states (states/eV/cell): 19.48

```
16
Lattice="-1.778 3.530 2.822 -4.158 -0.090 -2.507 -7.202 -13.566 12.430" Properties=species:S:1:pos:R:3 pbc="T T T"
Dy -2.968 1.720 0.157
Dy -4.800 -1.731 3.319
Dy -6.569 -5.063 6.372
Dy -8.338 -8.396 9.426
Dy -1.825 0.001 3.027
Dy -3.603 -3.348 6.096
Dy -5.377 -6.688 9.156
Dy -7.155 -10.037 12.225
Dy -3.015 -1.809 0.362
Dy -4.793 -5.158 3.431
Dy -6.567 -8.498 6.492
Dy -8.345 -11.847 9.560
Ho 0.000 0.000 0.000
In -1.843 -3.472 3.181
In -3.601 -6.783 6.215
In -5.359 -10.094 9.249
```

***

# 10
# Rb2As2S5

Rb2As2S5 after structural relaxation (PBE-GGA, the Alexandria database).

Values from the calculation:
E_form (uncorrected) (eV per atom): -0.455
Volume (Å³/cell): 274.41
Space group: No. 12

```
9
Lattice="5.155 0.000 0.000 -2.578 6.695 -0.380 0.000 -1.435 8.032" Properties=species:S:1:pos:R:3 pbc="T T T"
Rb 0.000 4.506 5.101
Rb 2.578 0.754 2.552
As 0.000 0.807 7.091
As 2.578 4.453 0.561
S 0.000 4.332 0.018
S 2.578 0.928 7.634
S 0.000 0.933 4.943
S 2.578 4.327 2.709
S 0.000 0.000 0.000
```

***

# 11
# Y3TmAl8

Y3TmAl8 after structural relaxation (PBE-GGA, the Alexandria database).

Values from the calculation:
Relative energy among the computed polymorphs (meV per atom): 10
ΔH_f (0 K) (eV per atom): -0.5140
Volume (Å³/cell): 242.48
Space group: No. 156
Fermi-level density of states (states/eV/cell): 5.86

```
12
Lattice="5.541 0.000 0.000 -2.770 4.798 0.000 0.000 0.000 9.121" Properties=species:S:1:pos:R:3 pbc="T T T"
Y 2.770 1.599 3.951
Y 2.770 1.599 0.621
Y 0.000 0.000 8.498
Tm 0.000 0.000 5.177
Al 0.000 3.199 4.566
Al 0.000 3.199 9.118
Al 2.770 0.043 6.830
Al 1.422 2.378 6.830
Al 4.119 2.378 6.830
Al 0.000 1.557 2.288
Al -1.422 4.020 2.288
Al 1.422 4.020 2.288
```

***

# 12
# MgAgTe2

MgAgTe2 after structural relaxation (PBE-GGA, the Alexandria database).

Values from the calculation:
E_form (uncorrected) (eV per atom): -0.340
Volume (Å³/cell): 116.10
Space group: No. 25
Fermi-level density of states (states/eV/cell): 1.31

```
4
Lattice="-3.273 0.269 -1.665 -0.700 -4.040 0.722 -3.228 1.742 6.627" Properties=species:S:1:pos:R:3 pbc="T T T"
Ag -1.595 0.861 3.275
Mg -4.408 -0.578 4.501
Te -2.851 1.539 5.853
Te -3.188 -1.237 1.996
```

***

# 13
# ThPa2PdN5

ThPa2PdN5 after structural relaxation (PBE-GGA, the Alexandria database).

Values from the calculation:
E_form (uncorrected) (eV per atom): -1.109
Volume (Å³/cell): 248.11
Space group: No. 140
Fermi-level density of states (states/eV/cell): 13.49

```
18
Lattice="6.565 0.000 0.000 0.000 6.565 0.000 -3.282 -3.282 5.757" Properties=species:S:1:pos:R:3 pbc="T T T"
Th 0.000 0.000 2.878
Th 3.282 3.282 2.878
Pa 1.083 2.199 0.000
Pa 4.366 1.083 0.000
Pa 2.199 5.482 0.000
Pa 5.482 4.366 0.000
Pd 0.000 3.282 2.878
Pd 3.282 0.000 2.878
N 5.459 2.177 1.473
N 2.177 -1.106 4.284
N -2.177 1.106 4.284
N -1.106 -2.177 4.284
N 1.106 2.177 4.284
N 4.388 5.459 1.473
N 2.177 1.106 1.473
N 1.106 4.388 1.473
N 3.282 3.282 0.000
N 0.000 0.000 0.000
```

***

# 14
# PmPuCo2

PmPuCo2 after structural relaxation (PBE-GGA, the Alexandria database).

Values from the calculation:
Relative energy among the computed polymorphs (meV per atom): 0
ΔH_f (0 K) (eV per atom): -0.0865
Volume (Å³/cell): 79.26
Space group: No. 166
Fermi-level density of states (states/eV/cell): 5.85

```
4
Lattice="4.192 0.000 0.000 2.096 3.630 0.000 2.096 1.210 5.208" Properties=species:S:1:pos:R:3 pbc="T T T"
Pm 0.000 0.000 0.000
Co 6.288 3.630 3.265
Co 2.096 1.210 1.944
Pu 4.192 2.420 2.604
```

***

# 15
# Y5Mg4Zn

Y5Mg4Zn after structural relaxation (PBE-GGA, the Alexandria database).

Values from the calculation:
ΔH_f (0 K) (eV per atom): -0.1536
Volume (Å³/cell): 265.19
Space group: No. 123
Fermi-level density of states (states/eV/cell): 14.51

```
10
Lattice="3.719 0.000 0.000 0.000 3.719 0.000 0.000 0.000 19.179" Properties=species:S:1:pos:R:3 pbc="T T T"
Y 1.859 1.859 1.704
Y 1.859 1.859 5.664
Y 1.859 1.859 9.589
Y 1.859 1.859 13.515
Y 1.859 1.859 17.474
Mg 0.000 0.000 3.711
Mg 0.000 0.000 7.627
Mg 0.000 0.000 11.552
Mg 0.000 0.000 15.468
Zn 0.000 0.000 0.000
```

***

# 16
# Ca3Ge5Au6

Ca3Ge5Au6 after structural relaxation (PBE-GGA, the Alexandria database).

Values from the calculation:
ΔH_f (0 K) (eV per atom): -0.4669
Volume (Å³/cell): 579.97
Space group: No. 59
Fermi-level density of states (states/eV/cell): 9.38

```
28
Lattice="4.438 0.000 0.000 0.000 9.715 0.000 0.000 0.000 13.452" Properties=species:S:1:pos:R:3 pbc="T T T"
Ca 0.000 2.314 9.123
Ca 2.219 7.402 2.397
Ca 2.219 7.402 11.055
Ca 0.000 2.459 0.000
Ca 2.219 7.256 6.726
Ca 0.000 2.314 4.329
Ge 0.000 5.372 11.931
Ge 0.000 8.393 9.054
Ge 0.000 7.779 0.000
Ge 2.219 4.344 8.247
Ge 2.219 1.937 6.726
Ge 0.000 5.372 1.521
Ge 2.219 4.344 5.205
Ge 0.000 8.393 4.398
Ge 2.219 1.323 11.124
Ge 2.219 1.323 2.328
Au 0.000 0.015 11.440
Au 2.219 9.701 8.738
Au 2.219 3.909 10.854
Au 2.219 4.970 0.000
Au 0.000 4.745 6.726
Au 0.000 5.806 9.324
Au 0.000 5.806 4.128
Au 2.219 9.490 0.000
Au 0.000 0.015 2.012
Au 2.219 3.909 2.598
Au 0.000 0.225 6.726
Au 2.219 9.701 4.714
```

***

# 17
# BaGa3Pt3

BaGa3Pt3 after structural relaxation (PBE-GGA, the Alexandria database).

Values from the calculation:
Relative energy among the computed polymorphs (meV per atom): 44
ΔH_f (0 K) (eV per atom): -0.6058
Volume (Å³/cell): 588.45
Space group: No. 198
Fermi-level density of states (states/eV/cell): 9.87

```
28
Lattice="-3.767 -7.356 -1.388 6.482 -2.428 -4.723 3.744 -3.196 6.781" Properties=species:S:1:pos:R:3 pbc="T T T"
Ba 6.936 -4.721 3.812
Ba -1.235 -8.873 2.165
Ba 2.925 -5.879 0.304
Ba 4.292 -6.489 -4.940
Ga 1.412 -6.601 -2.802
Ga 2.851 -9.730 -4.389
Ga 6.002 -4.152 0.394
Ga 3.614 -2.356 0.300
Ga 0.544 -3.796 1.999
Ga 8.883 -6.433 1.330
Ga 1.306 -10.044 4.413
Ga 5.320 -7.451 2.134
Ga 0.821 -3.853 -1.783
Ga 1.134 -6.424 3.295
Ga 2.080 -9.132 0.814
Ga 4.789 -7.912 -1.683
Pt -0.320 -7.252 -1.169
Pt 5.691 -11.436 0.591
Pt 2.395 -8.858 -1.990
Pt 5.554 -4.373 -2.022
Pt 1.042 -2.093 0.108
Pt 6.637 -6.642 0.053
Pt 4.339 -3.779 2.233
Pt 3.162 -5.248 4.063
Pt 2.845 -8.368 3.170
Pt 4.522 -9.088 0.469
Pt -0.134 -6.060 1.163
Pt 3.022 -4.686 -2.646
```

***

# 18
# Li2InAs

Li2InAs after structural relaxation (PBE-GGA, the Alexandria database).

Values from the calculation:
ΔH_f (0 K) (eV per atom): -0.3003
Volume (Å³/cell): 75.79
Space group: No. 8
Fermi-level density of states (states/eV/cell): 1.11

```
4
Lattice="-2.514 -3.032 -3.718 0.308 -2.567 -4.759 1.344 -4.315 1.717" Properties=species:S:1:pos:R:3 pbc="T T T"
As -0.375 -4.959 -3.228
In -0.218 -2.415 -1.668
Li 0.002 -0.028 -0.007
Li -0.703 -7.468 -5.237
```

***

# 19
# Nd2Zn6Cu9

Nd2Zn6Cu9 after structural relaxation (PBE-GGA, the Alexandria database).

Values from the calculation:
ΔH_f (0 K) (eV per atom): -0.0823
Volume (Å³/cell): 289.62
Space group: No. 191
Fermi-level density of states (states/eV/cell): 6.82

```
17
Lattice="-3.491 -0.164 3.873 3.683 -3.678 -0.350 7.457 6.802 7.009" Properties=species:S:1:pos:R:3 pbc="T T T"
Nd 5.007 4.567 4.706
Nd 2.450 2.235 2.303
Zn 1.292 -2.507 1.058
Zn -1.099 -1.335 2.466
Zn 6.253 2.019 5.721
Zn 3.862 3.190 7.129
Zn 1.396 0.941 4.811
Zn 3.788 -0.230 3.404
Cu 4.472 5.589 7.780
Cu 8.059 3.832 5.669
Cu 6.313 3.750 7.605
Cu -0.505 1.049 3.102
Cu 3.082 -0.708 0.991
Cu 1.336 -0.790 2.927
Cu 1.983 3.319 5.441
Cu 5.570 1.562 3.330
Cu 3.825 1.480 5.266
```

***

# 20
# NiSb2Pb

NiSb2Pb after structural relaxation (PBE-GGA, the Alexandria database).

Values from the calculation:
E_form (uncorrected) (eV per atom): 0.086
Volume (Å³/cell): 97.87
Space group: No. 6
Fermi-level density of states (states/eV/cell): 2.55

```
4
Lattice="3.516 0.000 0.000 0.000 3.832 -0.009 0.000 1.883 7.259" Properties=species:S:1:pos:R:3 pbc="T T T"
Ni 0.000 3.582 2.922
Pb 1.758 3.570 5.201
Sb 0.000 3.588 0.309
Sb 1.758 1.664 2.435
```